Entry 1:
This record from the Alexandria database describes a geometry-optimized UIn6O12 structure. The functional is PBE.

space group	R-3, No. 148
formation energy without anion corrections	-1868	meV/atom
D(E_F)	0.0000	states/eV/atom
calculated density	7.3	g/cm3

Cell: 6.4332 6.4332 6.4332 Å, 99.37 99.37 99.37°
With the nearest neighbours (Å) after each atom.
Element x y z (fractional)
1 U 0.0000 0.0000 0.0000  6 O 2.09
2 In 0.1421 0.6060 0.3332  6 O 2.13-2.28
3 In 0.3332 0.1421 0.6060  6 O 2.13-2.28
4 In 0.3940 0.6668 0.8579  6 O 2.13-2.28
5 In 0.6060 0.3332 0.1421  6 O 2.13-2.28
6 In 0.6668 0.8579 0.3940  6 O 2.13-2.28
7 In 0.8579 0.3940 0.6668  6 O 2.13-2.28
8 O 0.0498 0.6910 0.8886  1 U 2.09, 2 In 2.23-2.28
9 O 0.1114 0.9502 0.3090  1 U 2.09, 2 In 2.23-2.28
10 O 0.1775 0.4096 0.5910  4 In 2.13-2.27
11 O 0.3090 0.1114 0.9502  1 U 2.09, 2 In 2.23-2.28
12 O 0.4090 0.8225 0.5904  4 In 2.13-2.27
13 O 0.4096 0.5910 0.1775  4 In 2.13-2.27
14 O 0.5904 0.4090 0.8225  4 In 2.13-2.27
15 O 0.5910 0.1775 0.4096  4 In 2.13-2.27
16 O 0.6910 0.8886 0.0498  1 U 2.09, 2 In 2.23-2.28
17 O 0.8225 0.5904 0.4090  4 In 2.13-2.27
18 O 0.8886 0.0498 0.6910  1 U 2.09, 2 In 2.23-2.28
19 O 0.9502 0.3090 0.1114  1 U 2.09, 2 In 2.23-2.28

Entry 2:
This record from the Alexandria database describes a geometry-optimized U3In5O12 structure. The functional is PBE.

space group	Ia-3d, No. 230
formation energy without anion corrections	-1909	meV/atom
D(E_F)	1.1680	states/eV/atom
calculated density	8.2	g/cm3

Cell: 11.5734 11.5734 11.5734 Å, 109.47 109.47 109.47°
With the nearest neighbours (Å) after each atom.
Element x y z (fractional)
1 U 0.1250 0.2500 0.3750  8 O 2.49-2.51
2 U 0.1250 0.3750 0.7500  8 O 2.49-2.51
3 U 0.2500 0.3750 0.1250  8 O 2.49-2.51
4 U 0.2500 0.8750 0.6250  8 O 2.49-2.51
5 U 0.3750 0.1250 0.2500  8 O 2.49-2.51
6 U 0.3750 0.7500 0.1250  8 O 2.49-2.51
7 U 0.6250 0.2500 0.8750  8 O 2.49-2.51
8 U 0.6250 0.8750 0.7500  8 O 2.49-2.51
9 U 0.7500 0.1250 0.3750  8 O 2.49-2.51
10 U 0.7500 0.6250 0.8750  8 O 2.49-2.51
11 U 0.8750 0.6250 0.2500  8 O 2.49-2.51
12 U 0.8750 0.7500 0.6250  8 O 2.49-2.51
13 In 0.0000 0.0000 0.0000  6 O 2.24
14 In 0.0000 0.0000 0.5000  6 O 2.24
15 In 0.0000 0.5000 0.0000  6 O 2.24
16 In 0.0000 0.5000 0.5000  6 O 2.24
17 In 0.1250 0.7500 0.8750  4 O 2.11
18 In 0.1250 0.8750 0.2500  4 O 2.11
19 In 0.2500 0.1250 0.8750  4 O 2.11
20 In 0.2500 0.6250 0.3750  4 O 2.11
21 In 0.3750 0.2500 0.6250  4 O 2.11
22 In 0.3750 0.6250 0.7500  4 O 2.11
23 In 0.5000 0.0000 0.0000  6 O 2.24
24 In 0.5000 0.0000 0.5000  6 O 2.24
25 In 0.5000 0.5000 0.0000  6 O 2.24
26 In 0.5000 0.5000 0.5000  6 O 2.24
27 In 0.6250 0.3750 0.2500  4 O 2.11
28 In 0.6250 0.7500 0.3750  4 O 2.11
29 In 0.7500 0.3750 0.6250  4 O 2.11
30 In 0.7500 0.8750 0.1250  4 O 2.11
31 In 0.8750 0.1250 0.7500  4 O 2.11
32 In 0.8750 0.2500 0.1250  4 O 2.11
33 O 0.0460 0.2182 0.1334  2 In 2.11-2.24
34 O 0.0460 0.3278 0.9126  2 In 2.11-2.24
35 O 0.0849 0.7182 0.6722  2 In 2.11-2.24
36 O 0.0849 0.8666 0.4126  2 In 2.11-2.24
37 O 0.0874 0.6334 0.4151  2 In 2.11-2.24
38 O 0.0874 0.9540 0.6722  2 In 2.11-2.24
39 O 0.1334 0.0460 0.2182  2 In 2.11-2.24
40 O 0.1334 0.5874 0.9151  2 In 2.11-2.24
41 O 0.1722 0.2182 0.5849  2 In 2.11-2.24
42 O 0.1722 0.4540 0.5874  2 In 2.11-2.24
43 O 0.2182 0.1334 0.0460  2 In 2.11-2.24
44 O 0.2182 0.5849 0.1722  2 In 2.11-2.24
45 O 0.2818 0.3278 0.9151  2 In 2.11-2.24
46 O 0.2818 0.4540 0.3666  2 In 2.11-2.24
47 O 0.3278 0.9126 0.0460  2 In 2.11-2.24
48 O 0.3278 0.9151 0.2818  2 In 2.11-2.24
49 O 0.3666 0.2818 0.4540  2 In 2.11-2.24
50 O 0.3666 0.5849 0.9126  2 In 2.11-2.24
51 O 0.4126 0.0849 0.8666  2 In 2.11-2.24
52 O 0.4126 0.8278 0.5460  2 In 2.11-2.24
53 O 0.4151 0.0874 0.6334  2 In 2.11-2.24
54 O 0.4151 0.8278 0.7818  2 In 2.11-2.24
55 O 0.4540 0.3666 0.2818  2 In 2.11-2.24
56 O 0.4540 0.5874 0.1722  2 In 2.11-2.24
57 O 0.5460 0.4126 0.8278  2 In 2.11-2.24
58 O 0.5460 0.6334 0.7182  2 In 2.11-2.24
59 O 0.5849 0.1722 0.2182  2 In 2.11-2.24
60 O 0.5849 0.9126 0.3666  2 In 2.11-2.24
61 O 0.5874 0.1722 0.4540  2 In 2.11-2.24
62 O 0.5874 0.9151 0.1334  2 In 2.11-2.24
63 O 0.6334 0.4151 0.0874  2 In 2.11-2.24
64 O 0.6334 0.7182 0.5460  2 In 2.11-2.24
65 O 0.6722 0.0849 0.7182  2 In 2.11-2.24
66 O 0.6722 0.0874 0.9540  2 In 2.11-2.24
67 O 0.7182 0.5460 0.6334  2 In 2.11-2.24
68 O 0.7182 0.6722 0.0849  2 In 2.11-2.24
69 O 0.7818 0.4151 0.8278  2 In 2.11-2.24
70 O 0.7818 0.8666 0.9540  2 In 2.11-2.24
71 O 0.8278 0.5460 0.4126  2 In 2.11-2.24
72 O 0.8278 0.7818 0.4151  2 In 2.11-2.24
73 O 0.8666 0.4126 0.0849  2 In 2.11-2.24
74 O 0.8666 0.9540 0.7818  2 In 2.11-2.24
75 O 0.9126 0.0460 0.3278  2 In 2.11-2.24
76 O 0.9126 0.3666 0.5849  2 In 2.11-2.24
77 O 0.9151 0.1334 0.5874  2 In 2.11-2.24
78 O 0.9151 0.2818 0.3278  2 In 2.11-2.24
79 O 0.9540 0.6722 0.0874  2 In 2.11-2.24
80 O 0.9540 0.7818 0.8666  2 In 2.11-2.24

Entry 3:
This record from the Alexandria database describes a geometry-optimized UInO4 structure. The functional is PBE.

space group	I4_1/amd, No. 141
formation energy without anion corrections	-2419	meV/atom
D(E_F)	1.0546	states/eV/atom
calculated density	9.2	g/cm3

Cell: 6.5174 6.5174 6.5174 Å, 131.96 131.96 70.30°
With the nearest neighbours (Å) after each atom.
Element x y z (fractional)
1 U 0.3750 0.6250 0.7500  8 O 2.28
2 U 0.6250 0.3750 0.2500  8 O 2.28
3 In 0.1250 0.8750 0.2500  8 O 2.32
4 In 0.8750 0.1250 0.7500  8 O 2.32
5 O 0.0000 0.2570 0.2570  2 U 2.28, 2 In 2.32
6 O 0.0000 0.7430 0.7430  2 U 2.28, 2 In 2.32
7 O 0.2570 0.0000 0.7570  2 U 2.28, 2 In 2.32
8 O 0.2570 0.5000 0.2570  2 U 2.28, 2 In 2.32
9 O 0.5000 0.2570 0.7570  2 U 2.28, 2 In 2.32
10 O 0.5000 0.7430 0.2430  2 U 2.28, 2 In 2.32
11 O 0.7430 0.0000 0.2430  2 U 2.28, 2 In 2.32
12 O 0.7430 0.5000 0.7430  2 U 2.28, 2 In 2.32

Entry 4:
This record from the Alexandria database describes a geometry-optimized UZnInO6 structure. The functional is PBE.

space group	P4_2nm, No. 102
formation energy without anion corrections	-1975	meV/atom
D(E_F)	1.0093	states/eV/atom
calculated density	7.2	g/cm3

Cell: 4.9431 4.9431 9.7440 Å, 90.00 90.00 90.00°
With the nearest neighbours (Å) after each atom.
Element x y z (fractional)
1 U 0.0000 0.0000 0.0000  6 O 2.07-2.10
2 U 0.5000 0.5000 0.5000  6 O 2.07-2.10
3 Zn 0.0000 0.0000 0.6657  6 O 2.10-2.13
4 Zn 0.5000 0.5000 0.1657  6 O 2.10-2.13
5 In 0.0000 0.0000 0.3348  6 O 2.17-2.21
6 In 0.5000 0.5000 0.8348  6 O 2.17-2.21
7 O 0.1894 0.1894 0.8364  1 U 2.07, 1 Zn 2.13, 1 In 2.17
8 O 0.1978 0.1978 0.1578  1 U 2.07, 1 Zn 2.11, 1 In 2.21
9 O 0.1997 0.1997 0.5051  1 Zn 2.10, 1 U 2.10, 1 In 2.17
10 O 0.3003 0.6997 0.0051  1 Zn 2.10, 1 U 2.10, 1 In 2.17
11 O 0.3022 0.6978 0.6578  1 U 2.07, 1 Zn 2.11, 1 In 2.21
12 O 0.3106 0.6894 0.3364  1 U 2.07, 1 Zn 2.13, 1 In 2.17
13 O 0.6894 0.3106 0.3364  1 U 2.07, 1 Zn 2.13, 1 In 2.17
14 O 0.6978 0.3022 0.6578  1 U 2.07, 1 Zn 2.11, 1 In 2.21
15 O 0.6997 0.3003 0.0051  1 Zn 2.10, 1 U 2.10, 1 In 2.17
16 O 0.8003 0.8003 0.5051  1 Zn 2.10, 1 U 2.10, 1 In 2.17
17 O 0.8022 0.8022 0.1578  1 U 2.07, 1 Zn 2.11, 1 In 2.21
18 O 0.8106 0.8106 0.8364  1 U 2.07, 1 Zn 2.13, 1 In 2.17